Entry 1:
GGA-PBE MnCu, relaxed; calculated total energy = -0.45703 Ry per atom; Fermi-level density of states = 0.688 states/eV per atom; formation energy = 0.415 eV/atom; symmetry = I4/mmm, No. 139
1.0
-3.646 3.646 1.808
3.646 -3.646 1.808
3.646 3.646 -1.808
Mn Cu
4 4
direct
0.152 0.152 0.304
0.152 0.848 0.000
0.848 0.152 0.000
0.848 0.848 0.696
0.175 0.500 0.675
0.500 0.175 0.675
0.500 0.825 0.325
0.825 0.500 0.325


Entry 2:
GGA-PBE Ca2Ho, relaxed; calculated total energy = -0.18419 Ry per atom; Fermi-level density of states = 1.547 states/eV per atom; formation energy = 0.354 eV/atom; symmetry = Fd-3m, No. 227
1.0
0.000 4.881 4.881
4.881 0.000 4.881
4.881 4.881 0.000
Ca Ho
4 2
direct
0.000 0.000 0.000
0.000 0.000 0.500
0.000 0.500 0.000
0.500 0.000 0.000
0.375 0.375 0.375
0.625 0.625 0.625